Material: NaZrCuSe3
Method: DFT, PBE
State: optimized geometry

a = 13.5621 Å, b = 3.8558 Å, c = 10.3323 Å
α = 90.00°, β = 90.00°, γ = 90.00°
Positions (direct):
Na 0.2278 0.2500 0.0429
Na 0.2722 0.7500 0.5429
Na 0.7278 0.2500 0.4571
Na 0.7722 0.7500 0.9571
Zr 0.0114 0.2500 0.3221
Zr 0.4886 0.7500 0.8221
Zr 0.5114 0.2500 0.1779
Zr 0.9886 0.7500 0.6779
Cu 0.0087 0.7500 0.0924
Cu 0.4913 0.2500 0.5924
Cu 0.5087 0.7500 0.4076
Cu 0.9913 0.2500 0.9076
Se 0.1041 0.2500 0.5652
Se 0.1055 0.7500 0.8816
Se 0.1409 0.7500 0.2525
Se 0.3591 0.2500 0.7525
Se 0.3945 0.2500 0.3816
Se 0.3959 0.7500 0.0652
Se 0.6041 0.2500 0.9348
Se 0.6055 0.7500 0.6184
Se 0.6409 0.7500 0.2475
Se 0.8591 0.2500 0.7475
Se 0.8945 0.2500 0.1184
Se 0.8959 0.7500 0.4348

Output
Energy ... -5.068 eV per atom
Spin magnetization ... 0.0 μB/f.u.
Space-group type ... Pnma, No. 62